Here is KRhS2 after structural relaxation from the Alexandria database. Energies are from PBE-GGA.

Values from the calculation:
size of the total moment	0.00	μB per formula unit
raw total energy	-64.4	eV for the cell shown

Cell lengths 6.5981, 6.5981, 6.5981 Å; angles 90.00, 90.00, 90.00 degrees
With the nearest neighbours (Å) after each atom.
Element x y z (fractional)
K: 0.0000 0.0000 0.0000  8 S 2.86
K: 0.0000 0.5000 0.5000  8 S 2.86
K: 0.5000 0.0000 0.5000  8 S 2.86
K: 0.5000 0.5000 0.0000  8 S 2.86
Rh: 0.0000 0.0000 0.5000  8 S 2.86
Rh: 0.0000 0.5000 0.0000  8 S 2.86
Rh: 0.5000 0.0000 0.0000  8 S 2.86
Rh: 0.5000 0.5000 0.5000  8 S 2.86
S: 0.2500 0.2500 0.2500  4 K 2.86, 4 Rh 2.86
S: 0.2500 0.2500 0.7500  4 K 2.86, 4 Rh 2.86
S: 0.2500 0.7500 0.2500  4 K 2.86, 4 Rh 2.86
S: 0.2500 0.7500 0.7500  4 K 2.86, 4 Rh 2.86
S: 0.7500 0.2500 0.2500  4 K 2.86, 4 Rh 2.86
S: 0.7500 0.2500 0.7500  4 K 2.86, 4 Rh 2.86
S: 0.7500 0.7500 0.2500  4 K 2.86, 4 Rh 2.86
S: 0.7500 0.7500 0.7500  4 K 2.86, 4 Rh 2.86

=====

Here is KRh3S after structural relaxation from the Alexandria database. Energies are from PBE-GGA.

Values from the calculation:
offset from the most stable computed form	0	meV per atom
size of the total moment	0.00	μB per formula unit
raw total energy	-26.5	eV for the cell shown

Cell lengths 4.5119, 4.5119, 4.5119 Å; angles 90.00, 90.00, 90.00 degrees
With the nearest neighbours (Å) after each atom.
Element x y z (fractional)
K: 0.0000 0.0000 0.0000  12 Rh 3.19
Rh: 0.0000 0.5000 0.5000  2 S 2.26
Rh: 0.5000 0.0000 0.5000  2 S 2.26
Rh: 0.5000 0.5000 0.0000  2 S 2.26
S: 0.5000 0.5000 0.5000  6 Rh 2.26